No. 1
An optimized crystal structure of LiNiAgBi. Source: OQMD via LeMat-Bulk, functional PBE.

The structure in CIF format:
```
data_LiNiAgBi
_cell_length_a 6.470
_cell_length_b 6.470
_cell_length_c 6.470
_cell_angle_alpha 90.00
_cell_angle_beta 90.00
_cell_angle_gamma 90.00
_symmetry_space_group_name_H-M 'F -4 3 m'
_symmetry_Int_Tables_number 216
_symmetry_space_group_name_Hall 'F -4 2 3'
loop_
_atom_site_label
_atom_site_type_symbol
_atom_site_fract_x
_atom_site_fract_y
_atom_site_fract_z
Li1 Li 0.000 0.000 0.000
Ni1 Ni 0.000 0.000 0.500
Ag1 Ag 0.250 0.250 0.750
Bi1 Bi 0.250 0.250 0.250
```

=====

No. 2
An optimized crystal structure of Pr2HoMg3Tl2Hg. Source: OQMD via LeMat-Bulk, functional PBE.

The structure in CIF format:
```
data_Pr2HoMg3Tl2Hg
_cell_length_a 4.698
_cell_length_b 13.138
_cell_length_c 7.724
_cell_angle_alpha 90.00
_cell_angle_beta 90.00
_cell_angle_gamma 90.00
_symmetry_space_group_name_H-M 'A m m 2'
_symmetry_Int_Tables_number 38
_symmetry_space_group_name_Hall 'A 2 -2'
loop_
_atom_site_label
_atom_site_type_symbol
_atom_site_fract_x
_atom_site_fract_y
_atom_site_fract_z
Pr1 Pr 0.000 0.209 0.000
Ho1 Ho 0.000 0.000 0.626
Mg1 Mg 0.500 0.000 0.975
Mg2 Mg 0.500 0.119 0.330
Tl1 Tl 0.500 0.162 0.708
Hg1 Hg 0.000 0.000 0.222
```

=====

No. 3
An optimized crystal structure of Cu2Ag3. Source: OQMD via LeMat-Bulk, functional PBE.

Properties
**DFT formation energy**: 0.051 eV per atom
**E above lowest polymorph**: 0.10 eV/f.u.

The structure in CIF format:
```
data_Cu2Ag3
_cell_length_a 2.848
_cell_length_b 2.848
_cell_length_c 19.054
_cell_angle_alpha 90.00
_cell_angle_beta 90.00
_cell_angle_gamma 90.00
_symmetry_space_group_name_H-M 'I 4/m m m'
_symmetry_Int_Tables_number 139
_symmetry_space_group_name_Hall '-I 4 2'
loop_
_atom_site_label
_atom_site_type_symbol
_atom_site_fract_x
_atom_site_fract_y
_atom_site_fract_z
Cu1 Cu 0.000 0.000 0.211
Ag1 Ag 0.000 0.000 0.000
Ag2 Ag 0.000 0.000 0.386
```

=====

Number 1: energy -3.707 eV/atom. Number 2: energy -3.031 eV/atom. Number 3: energy -3.130 eV/atom.